Record 1
Compound: Na2ScSiO5
Source: the Alexandria database
Functional: GGA-PBE
Structure: relaxed

Cell lengths 13.9646, 5.3834, 12.1789 Å; angles 90.00, 90.00, 90.00 degrees
With the nearest neighbours (Å) after each atom.
Space group Pca2_1 (No. 29)
Unique sites:
Na 0.0084 0.0135 0.0000 [4 per cell]  6 O 2.41-2.59
Na 0.1156 0.4894 0.4043 [4 per cell]  6 O 2.39-2.66
Na 0.1339 0.0152 0.7572 [4 per cell]  6 O 2.39-2.64
Na 0.2416 0.4854 0.1607 [4 per cell]  6 O 2.40-2.59
Sc 0.0246 0.5254 0.6524 [4 per cell]  6 O 2.08-2.16
Sc 0.2259 0.0242 0.5091 [4 per cell]  6 O 2.07-2.16
Si 0.1167 0.9573 0.2408 [4 per cell]  4 O 1.64-1.65
Si 0.1330 0.5399 0.9201 [4 per cell]  4 O 1.64-1.65
O 0.0270 0.1292 0.1996 [4 per cell]  1 Si 1.64
O 0.0366 0.4674 0.9916 [4 per cell]  1 Si 1.65
O 0.0933 0.6600 0.2227 [4 per cell]  1 Si 1.65
O 0.1132 0.2429 0.5834 [4 per cell]  2 Sc 2.13-2.16
O 0.1158 0.4860 0.7884 [4 per cell]  1 Si 1.65
O 0.1338 0.0036 0.3731 [4 per cell]  1 Si 1.65
O 0.1367 0.7430 0.5767 [4 per cell]  2 Sc 2.13-2.16
O 0.1573 0.8375 0.9366 [4 per cell]  1 Si 1.65
O 0.2130 0.0325 0.1696 [4 per cell]  1 Si 1.65
O 0.2221 0.3694 0.9638 [4 per cell]  1 Si 1.64

Computed properties:
Uncorrected formation energy ... -2463 meV per atom
Total DFT energy (no corrections) ... -6.817 eV/atom
Total magnetic moment ... 8.4 μB/cell



Record 2
Compound: NaLa2Mn2
Source: the Alexandria database
Functional: GGA-PBE
Structure: relaxed

Cell lengths 8.3693, 8.3693, 3.9212 Å; angles 90.00, 90.00, 90.00 degrees
With the nearest neighbours (Å) after each atom.
Space group P4/mbm (No. 127)
Unique sites:
Na 0.0000 0.0000 0.0000 [2 per cell]  4 Mn 3.39, 8 La 3.68
La 0.1682 0.3318 0.5000 [4 per cell]  6 Mn 3.08-3.27
Mn 0.1103 0.6103 0.0000 [4 per cell]  1 Mn 2.61

Computed properties:
Distance to the lowest polymorph of the same formula ... 0.0 kJ per mole of atoms
Total DFT energy (no corrections) ... -5.566 eV/atom
Total magnetic moment ... 11.0 μB/cell
Energy of formation ... 1.683 eV/f.u.



Record 3
Compound: ZrPAu2
Source: the Alexandria database
Functional: GGA-PBE
Structure: relaxed

Cell lengths 3.8292, 3.8292, 5.0316 Å; angles 90.00, 90.00, 90.00 degrees
With the nearest neighbours (Å) after each atom.
Space group P4/mmm (No. 123)
Unique sites:
Zr 0.0000 0.0000 0.0000 [1 per cell]  4 P 2.71
P 0.5000 0.5000 0.0000 [1 per cell]  4 Zr 2.71
Au 0.0000 0.5000 0.5000 [2 per cell]  4 Au 2.71

Computed properties:
Total DFT energy (no corrections) ... -5.557 eV/atom
Total magnetic moment ... 0.0 μB/cell
Energy of formation ... -1.714 eV/f.u.



Record 4
Compound: TmCdNi4
Source: the Alexandria database
Functional: GGA-PBE
Structure: relaxed

Cell lengths 6.9972, 6.9972, 6.9972 Å; angles 90.00, 90.00, 90.00 degrees
With the nearest neighbours (Å) after each atom.
Space group F-43m (No. 216)
Unique sites:
Tm 0.0000 0.0000 0.0000 [4 per cell]  12 Ni 2.90, 4 Cd 3.03
Cd 0.2500 0.2500 0.2500 [4 per cell]  12 Ni 2.90, 4 Tm 3.03
Ni 0.1243 0.1243 0.6243 [16 per cell]  6 Ni 2.46-2.49

Computed properties:
Total DFT energy (no corrections) ... -5.128 eV/atom
Total magnetic moment ... 0.0 μB/cell
Energy of formation ... -2.254 eV/f.u.